(1)
Density functional theory data (GGA-PBE) for an optimized crystal structure of Ca2GdHo.

Cell lengths 3.5853, 3.5853, 13.1953 Å; angles 82.19, 82.19, 60.00 degrees
Last column: nearest neighbours and their distance in Å.
Fractional positions:
Ho 0.0000 0.0000 0.0000  2 Ca 3.42, 6 Ho 3.59
Gd 0.5000 0.5000 0.5000  6 Gd 3.59, 6 Ca 3.72
Ca 0.0875 0.0875 0.7375  1 Ho 3.42, 6 Ca 3.59, 3 Gd 3.72
Ca 0.9125 0.9125 0.2625  1 Ho 3.42, 6 Ca 3.59, 3 Gd 3.72

The calculation puts the excess energy over the best structure of this formula in the dataset at 0.090 eV per atom. The value obtained for the size of the total moment is 7.3 μB per formula unit. As for the formation energy from the elements: 1.0 eV/f.u. The density comes out at 4.6 g/cm³.

=====

(2)
Density functional theory data (GGA-PBE) for an optimized crystal structure of Mo5W.

Cell lengths 3.1718, 5.2483, 6.3455 Å; angles 72.41, 90.00, 107.59 degrees
Last column: nearest neighbours and their distance in Å.
Fractional positions:
Mo 0.3609 0.7217 0.7777  6 Mo 2.74-2.75, 2 W 2.74
Mo 0.3614 0.7228 0.2779  6 Mo 2.74-2.75, 2 W 2.75
Mo 0.0275 0.0550 0.9443  6 Mo 2.74-2.75, 2 W 2.75
Mo 0.6944 0.3889 0.6111  8 Mo 2.74-2.75
Mo 0.0280 0.0560 0.4446  6 Mo 2.74-2.75, 2 W 2.74
W 0.6945 0.3889 0.1111  8 Mo 2.74-2.75

The calculation puts the excess energy over the best structure of this formula in the dataset at 0.012 eV per atom. The value obtained for the size of the total moment is 0.0 μB per formula unit. As for the formation energy from the elements: 0.0 eV/f.u. The density comes out at 11.5 g/cm³.

=====

(3)
Density functional theory data (GGA-PBE) for an optimized crystal structure of MgMnTe2.

Cell lengths 3.9047, 4.4496, 7.3075 Å; angles 96.99, 90.00, 90.00 degrees
Last column: nearest neighbours and their distance in Å.
Fractional positions:
Te 0.0000 0.5678 0.4955  2 Mn 2.75, 2 Mg 2.90
Te 0.0000 0.9322 0.0045  2 Mn 2.75, 2 Mg 2.90
Mg 0.5000 0.2500 0.2500  4 Te 2.90
Mn 0.5000 0.7500 0.7500  4 Te 2.75

The value obtained for the uncorrected formation energy is -0.110 eV per atom. The value obtained for the size of the total moment is 4.9 μB per formula unit. The density comes out at 4.4 g/cm³.

=====

(4)
Density functional theory data (GGA-PBE) for an optimized crystal structure of Pm12Pb5C2.

Cell lengths 7.7157, 9.6215, 9.8186 Å; angles 104.96, 90.00, 113.64 degrees
Last column: nearest neighbours and their distance in Å.
Fractional positions:
Pb 0.6856 0.3712 0.8384  7 Pm 3.16-3.35
Pb 0.3144 0.6288 0.1616  7 Pm 3.16-3.35
Pb 0.6928 0.3855 0.3495  7 Pm 3.19-3.31
Pb 0.0000 0.0000 0.5000  6 Pm 3.19-3.23
Pb 0.3072 0.6145 0.6505  7 Pm 3.19-3.31
Pm 0.4982 0.9963 0.8205  2 C 2.60
Pm 0.3981 0.3017 0.5748  4 Pb 3.16-3.26
Pm 0.9036 0.3017 0.5748  4 Pb 3.16-3.26
Pm 0.9979 0.9958 0.1702  2 C 2.57
Pm 0.0945 0.6984 0.9247  1 C 2.55
Pm 0.0964 0.6983 0.4252  4 Pb 3.16-3.26
Pm 0.6019 0.6983 0.4252  4 Pb 3.16-3.26
Pm 0.6039 0.6984 0.9247  1 C 2.55
Pm 0.5018 0.0037 0.1795  2 C 2.60
Pm 0.9055 0.3016 0.0753  1 C 2.55
Pm 0.3961 0.3016 0.0753  1 C 2.55
Pm 0.0021 0.0042 0.8298  2 C 2.57
C 0.7482 0.0000 0.0000  6 Pm 2.55-2.60
C 0.2518 0.0000 0.0000  6 Pm 2.55-2.60

The value obtained for the size of the total moment is 4.3 μB per formula unit. As for the formation energy from the elements: -4.6 eV/f.u. The density comes out at 7.3 g/cm³.

=====

(5)
Density functional theory data (GGA-PBE) for an optimized crystal structure of CoRu2Cl.

Cell lengths 4.2703, 4.2703, 6.4450 Å; angles 88.25, 88.25, 38.12 degrees
Last column: nearest neighbours and their distance in Å.
Fractional positions:
Co 0.3244 0.3244 0.1690  1 Cl 2.21, 1 Ru 2.48
Ru 0.0565 0.0565 0.9922  3 Ru 2.39-2.58, 3 Co 2.48-2.57
Ru 0.7954 0.7954 0.8265  3 Ru 2.39-2.58, 2 Cl 2.46, 2 Co 2.63
Cl 0.3238 0.3238 0.5122  1 Co 2.21, 2 Ru 2.46

The value obtained for the uncorrected formation energy is 0.536 eV per atom. The calculation puts the excess energy over the best structure of this formula in the dataset at 0.182 eV per atom. The value obtained for the size of the total moment is 1.9 μB per formula unit. The density comes out at 6.8 g/cm³.

=====

(6)
Density functional theory data (GGA-PBE) for an optimized crystal structure of LaCe2TmP4.

Cell lengths 4.1033, 7.0949, 7.1103 Å; angles 70.55, 90.00, 90.00 degrees
Last column: nearest neighbours and their distance in Å.
Fractional positions:
Ce 0.5000 0.0000 0.5000  6 P 2.85
Ce 0.0000 0.0000 0.0000  6 P 2.93
P 0.0000 0.2438 0.2615  3 Ce 2.85-2.93, 1 Tm 2.87, 2 La 2.95
P 0.0000 0.7562 0.7385  3 Ce 2.85-2.93, 1 Tm 2.87, 2 La 2.95
P 0.5000 0.2508 0.7409  3 Ce 2.85-2.93, 2 Tm 2.87, 1 La 2.95
P 0.5000 0.7492 0.2591  3 Ce 2.85-2.93, 2 Tm 2.87, 1 La 2.95
Tm 0.0000 0.5000 0.5000  6 P 2.87
La 0.5000 0.5000 0.0000  6 P 2.95

The value obtained for the size of the total moment is 1.0 μB per formula unit. As for the formation energy from the elements: -12.2 eV/f.u. The density comes out at 6.1 g/cm³.